Tb2FeSi4Pt3: optimized geometry, PBE-GGA.

abc: 4.0995 4.0995 10.0132
angles: 90.00 90.00 90.00
With the nearest neighbours (Å) after each atom.
Fractional positions:
Tb 0.5000 0.0000 0.2523  8 Si 3.14-3.25, 6 Pt 3.14-3.22, 2 Fe 3.22
Si 0.5000 0.0000 0.6267  2 Fe 2.41, 3 Pt 2.41-2.43
Pt 0.5000 0.0000 0.8691  5 Si 2.43
Fe 0.5000 0.5000 0.5000  4 Si 2.41
Si 0.0000 0.5000 0.3733  2 Fe 2.41, 3 Pt 2.41-2.43
Si 0.5000 0.5000 0.0000  4 Pt 2.43
Pt 0.0000 0.0000 0.5000  4 Si 2.41
Si 0.0000 0.0000 0.0000  4 Pt 2.43
Pt 0.0000 0.5000 0.1309  5 Si 2.43
Tb 0.0000 0.5000 0.7477  8 Si 3.14-3.25, 6 Pt 3.14-3.22, 2 Fe 3.22

Computed properties:
VASP energy: -6.76 eV per atom
symmetry: No. 115
density: 10.571 g cm⁻³

---

HoErOsO6: optimized geometry, PBE-GGA.

abc: 5.4466 5.4466 9.4874
angles: 90.00 90.00 120.00
With the nearest neighbours (Å) after each atom.
Fractional positions:
O 0.6319 0.6725 0.6344  1 Os 1.95
Os 0.6667 0.3333 0.2500  6 O 1.95
O 0.3275 0.3681 0.8656  1 Os 1.95
Er 0.6667 0.3333 0.7500  6 O 2.24
O 0.9594 0.6319 0.3656  1 Os 1.95
Ho 0.0000 0.0000 0.0000  6 O 2.29
Os 0.3333 0.6667 0.7500  6 O 1.95
Er 0.3333 0.6667 0.2500  6 O 2.24
O 0.6319 0.9594 0.8656  1 Os 1.95
O 0.6725 0.0406 0.3656  1 Os 1.95
O 0.3275 0.9594 0.6344  1 Os 1.95
O 0.3681 0.3275 0.3656  1 Os 1.95
Ho 0.0000 0.0000 0.5000  6 O 2.29
O 0.6725 0.6319 0.1344  1 Os 1.95
O 0.0406 0.6725 0.8656  1 Os 1.95
O 0.9594 0.3275 0.1344  1 Os 1.95
O 0.0406 0.3681 0.6344  1 Os 1.95
O 0.3681 0.0406 0.1344  1 Os 1.95

Computed properties:
VASP energy: -7.96 eV per atom
symmetry: No. 163
density: 8.426 g cm⁻³

---

TbBe2Rh3: optimized geometry, PBE-GGA.

abc: 3.2931 5.4993 5.4993
angles: 120.00 90.00 90.00
With the nearest neighbours (Å) after each atom.
Fractional positions:
Be 0.0000 0.3333 0.6667  6 Rh 2.29
Rh 0.5000 0.5000 0.5000  4 Be 2.29
Rh 0.5000 0.5000 0.0000  4 Be 2.29
Rh 0.5000 0.0000 0.5000  4 Be 2.29
Be 0.0000 0.6667 0.3333  6 Rh 2.29
Tb 0.0000 0.0000 0.0000  6 Be 3.17-3.18, 12 Rh 3.20, 2 Tb 3.29

Computed properties:
energy relative to the elements: -0.683 eV/atom
VASP energy: -6.37 eV per atom
symmetry: No. 191
density: 9.351 g cm⁻³

---

La2SnMo: optimized geometry, PBE-GGA.

abc: 8.5448 8.5448 6.7569
angles: 50.78 50.78 90.00
With the nearest neighbours (Å) after each atom.
Fractional positions:
Mo 0.5000 0.5000 0.0000  4 La 2.77, 2 Sn 3.02
Sn 0.7500 0.2500 0.5000  2 Mo 3.02
Sn 0.0000 0.0000 0.0000  2 Mo 3.02
La 0.1884 0.6250 0.2500  2 Mo 2.77
Mo 0.2500 0.7500 0.5000  4 La 2.77, 2 Sn 3.02
La 0.5616 0.1250 0.2500  2 Mo 2.77
La 0.8750 0.8116 0.7500  2 Mo 2.77
La 0.3750 0.4384 0.7500  2 Mo 2.77

Computed properties:
energy relative to the elements: 0.237 eV/atom
VASP energy: -5.94 eV per atom
symmetry: No. 122
density: 7.406 g cm⁻³

---

TaTe2Se: optimized geometry, PBE-GGA.

abc: 3.5113 3.5113 7.3015
angles: 90.00 90.00 90.00
With the nearest neighbours (Å) after each atom.
Fractional positions:
Te 0.0000 0.0000 0.9714  4 Ta 2.96, 4 Se 3.21, 1 Te 3.23
Te 0.0000 0.0000 0.5286  4 Ta 2.96, 4 Se 3.21, 1 Te 3.23
Ta 0.5000 0.5000 0.7500  8 Te 2.96
Se 0.5000 0.5000 0.2500  8 Te 3.21, 4 Se 3.51

Computed properties:
VASP energy: -5.27 eV per atom
symmetry: No. 123
density: 9.502 g cm⁻³

---

Ba2CaY: optimized geometry, PBE-GGA.

abc: 6.3641 3.8826 7.6731
angles: 78.19 90.00 90.00
With the nearest neighbours (Å) after each atom.
Fractional positions:
Ca 0.5000 0.2500 0.2500  2 Ca 3.88, 2 Y 3.93, 4 Ba 3.98
Y 0.5000 0.7500 0.7500  2 Y 3.88, 4 Ba 3.90, 2 Ca 3.93
Ba 0.0000 0.9915 0.9928  4 Ba 3.85-4.01, 2 Y 3.90, 2 Ca 3.98
Ba 0.0000 0.5085 0.5072  4 Ba 3.85-4.01, 2 Y 3.90, 2 Ca 3.98

Computed properties:
energy relative to the elements: 0.192 eV/atom
VASP energy: -2.89 eV per atom
energy above the most stable polymorph in this dataset: 0.236 eV/f.u.
symmetry: No. 10
density: 3.612 g cm⁻³

---

AcHg5Pd3: optimized geometry, PBE-GGA.

abc: 4.1224 7.5131 14.0627
angles: 90.00 90.00 105.92
With the nearest neighbours (Å) after each atom.
Fractional positions:
Hg 0.5678 0.1356 0.8501  3 Pd 2.79-3.03, 5 Hg 2.82-3.11
Ac 0.8483 0.6965 0.7500  6 Pd 3.12-3.15
Hg 0.8026 0.6052 0.0530  4 Pd 2.75-3.07, 3 Hg 2.95-2.96
Ac 0.1517 0.3035 0.2500  6 Pd 3.12-3.15
Hg 0.1974 0.3948 0.5530  4 Pd 2.75-3.07, 3 Hg 2.95-2.96
Hg 0.4322 0.8644 0.3501  3 Pd 2.79-3.03, 5 Hg 2.82-3.11
Pd 0.1864 0.3728 0.7500  6 Hg 2.77-3.03
Pd 0.6146 0.2293 0.0845  6 Hg 2.75-3.07
Pd 0.3854 0.7707 0.9155  6 Hg 2.75-3.07
Hg 0.4322 0.8644 0.1499  3 Pd 2.79-3.03, 5 Hg 2.82-3.11
Hg 0.5678 0.1356 0.6499  3 Pd 2.79-3.03, 5 Hg 2.82-3.11
Pd 0.3854 0.7707 0.5845  6 Hg 2.75-3.07
Hg 0.0000 0.0000 0.5000  4 Pd 2.90, 6 Hg 2.95-3.11
Pd 0.6146 0.2293 0.4155  6 Hg 2.75-3.07
Pd 0.8136 0.6272 0.2500  6 Hg 2.77-3.03
Hg 0.0000 0.0000 0.0000  4 Pd 2.90, 6 Hg 2.95-3.11
Hg 0.1974 0.3948 0.9470  4 Pd 2.75-3.07, 3 Hg 2.95-2.96
Hg 0.8026 0.6052 0.4470  4 Pd 2.75-3.07, 3 Hg 2.95-2.96

Computed properties:
energy relative to the elements: -0.243 eV/atom
VASP energy: -2.60 eV per atom
symmetry: No. 63
density: 12.284 g cm⁻³

---

YAgHg2B: optimized geometry, PBE-GGA.

abc: 5.3361 4.1534 5.3361
angles: 90.00 90.00 90.00
With the nearest neighbours (Å) after each atom.
Fractional positions:
Hg 0.0000 0.0000 0.5000  2 Ag 2.67
Y 0.5000 0.5000 0.5000  8 Hg 3.38, 4 B 3.77
Ag 0.0000 0.0000 0.0000  2 B 2.08
Hg 0.5000 0.0000 0.0000  2 Ag 2.67
B 0.0000 0.5000 0.0000  2 Ag 2.08

Computed properties:
energy relative to the elements: 0.623 eV/atom
VASP energy: -2.70 eV per atom
symmetry: No. 123
density: 8.548 g cm⁻³

---

TlCuTe2: optimized geometry, PBE-GGA.

abc: 3.3678 3.3678 9.3386
angles: 90.00 90.00 90.00
With the nearest neighbours (Å) after each atom.
Fractional positions:
Te 0.0000 0.0000 0.9438  4 Cu 2.99
Cu 0.5000 0.5000 0.7500  8 Te 2.99
Te 0.0000 0.0000 0.5562  4 Cu 2.99
Tl 0.5000 0.5000 0.2500  4 Tl 3.37, 8 Te 3.72

Computed properties:
VASP energy: -3.04 eV per atom
symmetry: No. 123
density: 8.201 g cm⁻³

---

CeTc4: optimized geometry, PBE-GGA.

abc: 4.6498 4.6498 4.6498
angles: 90.00 90.00 90.00
With the nearest neighbours (Å) after each atom.
Fractional positions:
Tc 0.5000 0.0000 0.5000  2 Ce 2.32
Tc 0.0000 0.0000 0.0000  12 Tc 3.29
Tc 0.0000 0.5000 0.5000  2 Ce 2.32
Ce 0.5000 0.5000 0.5000  6 Tc 2.32
Tc 0.5000 0.5000 0.0000  2 Ce 2.32

Computed properties:
energy relative to the elements: 1.914 eV/atom
VASP energy: -7.57 eV per atom
symmetry: No. 221
density: 8.789 g cm⁻³

---

PrErGa: optimized geometry, PBE-GGA.

abc: 4.3991 7.0334 6.3056
angles: 76.01 69.59 71.73
With the nearest neighbours (Å) after each atom.
Fractional positions:
Pr 0.4137 0.3569 0.8157  5 Ga 3.19-3.50
Ga 0.8714 0.6688 0.5881  1 Ga 2.62
Er 0.8235 0.0773 0.2756  3 Ga 2.96-3.06
Ga 0.1286 0.3312 0.4119  1 Ga 2.62
Er 0.1765 0.9227 0.7244  3 Ga 2.96-3.06
Pr 0.5863 0.6431 0.1843  5 Ga 3.19-3.50

Computed properties:
energy relative to the elements: -0.347 eV/atom
VASP energy: -4.47 eV per atom
energy above the most stable polymorph in this dataset: 0.170 eV/f.u.
symmetry: No. 12
density: 7.309 g cm⁻³

---

Ac3P2HPd9: optimized geometry, PBE-GGA.

abc: 6.5943 6.5943 7.5689
angles: 90.00 90.00 120.00
With the nearest neighbours (Å) after each atom.
Fractional positions:
Ac 0.0000 0.0000 0.0000  12 Pd 3.06-3.30
Pd 0.8553 0.7107 0.6596  1 H 2.05
Ac 0.6667 0.3333 0.3425  12 Pd 3.22-3.31, 1 P 3.39
Ac 0.3333 0.6667 0.6575  12 Pd 3.22-3.31, 1 P 3.39
P 0.6667 0.3333 0.7900  6 Pd 2.37-2.48
Pd 0.8553 0.1447 0.6596  1 H 2.05
H 0.0000 0.0000 0.5000  6 Pd 2.05
Pd 0.1447 0.8553 0.3404  1 H 2.05
Pd 0.7107 0.8553 0.3404  1 H 2.05
Pd 0.2893 0.1447 0.6596  1 H 2.05
Pd 0.5000 0.5000 0.0000  2 P 2.48
Pd 0.0000 0.5000 0.0000  2 P 2.48
P 0.3333 0.6667 0.2100  6 Pd 2.37-2.48
Pd 0.1447 0.2893 0.3404  1 H 2.05
Pd 0.5000 0.0000 0.0000  2 P 2.48

Computed properties:
VASP energy: -5.62 eV per atom
symmetry: No. 164
density: 9.914 g cm⁻³